[1]
# LiInP

A relaxed structure of LiInP (PBE-GGA, the Alexandria database).

The space group is P4/nmm (No. 129, origin choice 2) and the conventional cell measures 4.1127, 4.1127 and 6.5086 Å, with angles of 90.00, 90.00 and 90.00 degrees. The distinct sites, in fractional coordinates, are Li at (0.2500, 0.7500, 0.0000), In at (0.2500, 0.2500, 0.3329) and P at (0.2500, 0.2500, 0.7457).

The energy relative to the lowest polymorph listed for this composition is 0.363 eV per formula unit. The calculation puts the raw total energy at -11.0 eV/f.u. The calculation puts the energy of formation from the pure elements at -297 meV/atom. The calculation puts the total magnetic moment at 0.00 μB/f.u.

***

[2]
# LiInP

A relaxed structure of LiInP (PBE-GGA, the Alexandria database).

The space group is P-3m1 (No. 164) and the conventional cell measures 4.1008, 4.1008 and 8.8070 Å, with angles of 90.00, 90.00 and 120.00 degrees. The distinct sites, in fractional coordinates, are Li at (0.3333, 0.6667, 0.4082), In at (0.0000, 0.0000, 0.1602) and P at (0.3333, 0.6667, 0.7025).

The energy relative to the lowest polymorph listed for this composition is 0.000 eV per formula unit. The calculation puts the raw total energy at -11.3 eV/f.u. The calculation puts the energy of formation from the pure elements at -418 meV/atom. The calculation puts the total magnetic moment at 0.00 μB/f.u.

***

[3]
# LiInP

A relaxed structure of LiInP (PBE-GGA, the Alexandria database).

The space group is P3m1 (No. 156) and the conventional cell measures 4.7387, 4.7387 and 2.9757 Å, with angles of 90.00, 90.00 and 120.00 degrees. The distinct sites, in fractional coordinates, are Li at (0.0000, 0.0000, 0.0000), In at (0.3333, 0.6667, 0.4977) and P at (0.6667, 0.3333, 0.5002).

The energy relative to the lowest polymorph listed for this composition is 1.055 eV per formula unit. The calculation puts the raw total energy at -10.3 eV/f.u. The calculation puts the energy of formation from the pure elements at -67 meV/atom. The calculation puts the total magnetic moment at 0.00 μB/f.u.

***

Q: Look up the total magnetic moment of the third one.
A: 0.00 μB/f.u.

***

Q: total magnetic moment of number 1 (LiInP)?
A: 0.00 μB/f.u.

***

Q: raw total energy of number 3 (LiInP)?
A: -10.3 eV/f.u.